6
Lattice="-0.266 -6.337 -0.047 0.729 -3.164 -5.448 5.264 -3.387 -1.020" Properties=species:S:1:pos:R:3 comment="NaGdTl4, relaxed, DFT PBE-GGA" spacegroup=F-43m ef_ev_per_atom=-0.02 total_magnetization_mub_per_cell=7.19 pbc="T T T"
Na 1.432 -3.222 -1.629
Tl 0.946 -6.361 -3.562
Tl 3.215 -6.473 -1.346
Tl 3.580 -8.056 -4.072
Tl 3.713 -4.886 -4.049
Gd 0.000 0.000 0.000